# 1
CdFeRu2: optimized geometry, PBEsol.

Properties
D(E_F), states/eV per atom: 1.165
Formation energy from the elements, kcal/mol of atoms: 9.97

POSCAR file:
```
CdFeRu2
1.0
-2.069 1.450 -0.970
-2.534 -3.129 0.728
0.027 1.186 5.191
Ru Fe Cd
2 1 1
Cartesian
-1.802 2.132 2.888 Ru
-0.239 0.504 1.333 Ru
-2.288 -0.247 2.475 Fe
-2.302 -0.840 -0.121 Cd
```

# 2
CdFe2Ru: optimized geometry, PBEsol.

Properties
D(E_F), states/eV per atom: 0.865
Formation energy from the elements, kcal/mol of atoms: 9.36

POSCAR file:
```
CdFe2Ru
1.0
-2.681 -1.717 2.249
1.815 -3.420 -0.448
2.449 3.255 2.027
Fe Cd Ru
2 1 1
Cartesian
-0.333 -0.516 2.588 Fe
1.915 -1.367 1.240 Fe
0.000 0.000 0.000 Cd
-0.433 -2.569 0.900 Ru
```

# 3
CdFeRu2: optimized geometry, PBEsol.

Properties
D(E_F), states/eV per atom: 1.426
Formation energy from the elements, kcal/mol of atoms: 7.09

POSCAR file:
```
CdFeRu2
1.0
2.711 0.000 0.000
0.000 2.711 0.000
0.000 0.000 7.542
Cd Ru Fe
1 2 1
Cartesian
1.356 1.356 0.000 Cd
0.000 0.000 5.379 Ru
0.000 0.000 2.163 Ru
1.356 1.356 3.771 Fe
```

# 4
CdFeSn2Ru: optimized geometry, PBEsol.

Properties
D(E_F), states/eV per atom: 0.745
Formation energy from the elements, kcal/mol of atoms: 15.04

POSCAR file:
```
CdFeSn2Ru
1.0
4.404 0.000 0.000
0.000 4.823 0.000
0.000 0.000 4.823
Sn Ru Fe Cd
2 1 1 1
Cartesian
0.000 2.411 0.000 Sn
0.000 0.000 2.411 Sn
2.202 0.000 0.000 Ru
0.000 0.000 0.000 Fe
2.202 2.411 2.411 Cd
```

# 5
Sr2CdFeS: optimized geometry, PBEsol.

Properties
D(E_F), states/eV per atom: 0.929
Formation energy from raw total energies, eV per atom: 0.05

POSCAR file:
```
Sr2CdFeS
1.0
4.741 0.000 0.000
0.000 5.402 0.000
0.000 0.000 5.402
Sr Fe S Cd
2 1 1 1
Cartesian
0.000 2.701 0.000 Sr
0.000 0.000 2.701 Sr
0.000 0.000 0.000 Fe
2.371 2.701 2.701 S
2.371 0.000 0.000 Cd
```

# 6
CdFeSb2: optimized geometry, PBEsol.

Properties
D(E_F), states/eV per atom: 0.498
Formation energy from raw total energies, eV per atom: 0.18

POSCAR file:
```
CdFeSb2
1.0
3.079 0.000 0.000
-1.539 4.923 -0.010
0.000 -2.315 5.816
Sb Cd Fe
2 1 1
Cartesian
1.539 1.767 5.642 Sb
1.539 1.595 1.588 Sb
1.539 -0.802 3.671 Cd
0.000 1.499 3.618 Fe
```

What did the third record say?
CdFeRu2: optimized geometry, PBEsol.

Properties
D(E_F), states/eV per atom: 1.426
Formation energy from the elements, kcal/mol of atoms: 7.09

POSCAR file:
```
CdFeRu2
1.0
2.711 0.000 0.000
0.000 2.711 0.000
0.000 0.000 7.542
Cd Ru Fe
1 2 1
Cartesian
1.356 1.356 0.000 Cd
0.000 0.000 5.379 Ru
0.000 0.000 2.163 Ru
1.356 1.356 3.771 Fe
```

Please write out number 4 again, unchanged.
CdFeSn2Ru: optimized geometry, PBEsol.

Properties
D(E_F), states/eV per atom: 0.745
Formation energy from the elements, kcal/mol of atoms: 15.04

POSCAR file:
```
CdFeSn2Ru
1.0
4.404 0.000 0.000
0.000 4.823 0.000
0.000 0.000 4.823
Sn Ru Fe Cd
2 1 1 1
Cartesian
0.000 2.411 0.000 Sn
0.000 0.000 2.411 Sn
2.202 0.000 0.000 Ru
0.000 0.000 0.000 Fe
2.202 2.411 2.411 Cd
```

Number 6 is which compound? CdFeSb2

The lowest D(E_F) belongs to which entry? CdFeSb2